VASP calculation (PBE) on a relaxed AlSbSe2N crystal.

a = 5.3558 Å, b = 5.3558 Å, c = 3.9420 Å
α = 90.00°, β = 90.00°, γ = 90.00°
Fractional coordinates of all 5 atoms:
Se1 0.5000 0.0000 0.0000
Se2 0.0000 0.5000 0.0000
Sb1 0.0000 0.0000 0.0000
N1 0.0000 0.0000 0.5000
Al1 0.5000 0.5000 0.5000

Calculated values
As for the raw formation energy: 3.68 eV/f.u. Its space group is No. 123.